# SrHfAs2H

A geometry-optimized SrHfAs2H structure (GGA-PBE, Alexandria).

a b c (Å): 5.218 5.218 4.112
angles (deg): 90.00 90.00 90.00
Space group P4/mmm (No. 123)
Symmetry-distinct sites (fractional):
Sr 0.000 0.000 0.000
Hf 0.500 0.500 0.500
As 0.000 0.500 0.500
H 0.500 0.500 0.000

## Properties
For the total magnetization, the calculation gives 0.0 μB/cell. The total energy is -27.69 eV per cell. The calculation puts the density of states at the Fermi level at 2.4 states/eV/cell. The value obtained for the offset from the most stable computed form is 7.13 kJ/mol of atoms. The value obtained for the density is 6.18 g cm⁻³.